Entry 1:
The following is a PBE calculation of crystalline CsTcAs2Br at its relaxed geometry, from Alexandria.

Cell: 4.8291 4.8291 6.0059 Å, 90.00 90.00 90.00°
Sites, in units of the cell vectors:
Cs 0.0000 0.0000 0.0000
Tc 0.5000 0.5000 0.5000
As 0.0000 0.5000 0.5000
As 0.5000 0.0000 0.5000
Br 0.5000 0.5000 0.0000

Computed properties:
ΔE to the lowest computed polymorph = 0.000 eV/atom
space-group type = P4/mmm

---

Entry 2:
The following is a PBE calculation of crystalline CsTeAs2Br at its relaxed geometry, from Alexandria.

Cell: 6.2422 6.2422 6.5568 Å, 90.00 90.00 90.00°
Sites, in units of the cell vectors:
Cs 0.0000 0.0000 0.0000
Te 0.5000 0.5000 0.5000
As 0.0000 0.5000 0.0000
As 0.5000 0.0000 0.0000
Br 0.0000 0.0000 0.5000

Computed properties:
ΔE to the lowest computed polymorph = 1.216 eV/atom
space-group type = P4/mmm

---

Entry 3:
The following is a PBE calculation of crystalline CsTeAsBr2 at its relaxed geometry, from Alexandria.

Cell: 6.0637 6.0637 5.3209 Å, 90.00 90.00 90.00°
Sites, in units of the cell vectors:
Cs 0.0000 0.0000 0.0000
Te 0.5000 0.5000 0.5000
As 0.5000 0.5000 0.0000
Br 0.0000 0.5000 0.5000
Br 0.5000 0.0000 0.5000

Computed properties:
electronic total energy = -14.1 eV/cell
space-group type = P4/mmm

---

Entry 4:
The following is a PBE calculation of crystalline CsTeAs2Br at its relaxed geometry, from Alexandria.

Cell: 5.3796 5.3796 6.6030 Å, 90.00 90.00 90.00°
Sites, in units of the cell vectors:
Cs 0.0000 0.0000 0.0000
Te 0.5000 0.5000 0.5000
As 0.0000 0.5000 0.5000
As 0.5000 0.0000 0.5000
Br 0.5000 0.5000 0.0000

Computed properties:
ΔE to the lowest computed polymorph = 0.000 eV/atom
space-group type = P4/mmm

---

Entry 5:
The following is a PBE calculation of crystalline CsTiAs2Br at its relaxed geometry, from Alexandria.

Cell: 4.9370 4.9370 5.9955 Å, 90.00 90.00 90.00°
Sites, in units of the cell vectors:
Cs 0.0000 0.0000 0.0000
Ti 0.5000 0.5000 0.5000
As 0.0000 0.5000 0.5000
As 0.5000 0.0000 0.5000
Br 0.5000 0.5000 0.0000

Computed properties:
ΔE to the lowest computed polymorph = 0.000 eV/atom
space-group type = P4/mmm

---

Entry 6:
The following is a PBE calculation of crystalline CsTiAs2Br at its relaxed geometry, from Alexandria.

Cell: 5.7955 5.7955 6.2085 Å, 90.00 90.00 90.00°
Sites, in units of the cell vectors:
Cs 0.0000 0.0000 0.0000
Ti 0.5000 0.5000 0.5000
As 0.0000 0.5000 0.0000
As 0.5000 0.0000 0.0000
Br 0.0000 0.0000 0.5000

Computed properties:
ΔE to the lowest computed polymorph = 2.000 eV/atom
space-group type = P4/mmm

---

Entry 7:
The following is a PBE calculation of crystalline Cs2TiAsBr6 at its relaxed geometry, from Alexandria.

Cell: 8.2894 8.2894 8.2894 Å, 125.80 125.80 80.21°
Sites, in units of the cell vectors:
Cs 0.2500 0.7500 0.5000
Cs 0.7500 0.2500 0.5000
Ti 0.0000 0.0000 0.0000
As 0.5000 0.5000 0.0000
Br 0.2032 0.2032 0.0000
Br 0.2482 0.2482 0.4964
Br 0.2482 0.7518 0.0000
Br 0.7518 0.2482 0.0000
Br 0.7518 0.7518 0.5036
Br 0.7968 0.7968 0.0000

Computed properties:
electronic total energy = -35.0 eV/cell
space-group type = I4/mmm

---

Entry 8:
The following is a PBE calculation of crystalline CsTlAs2Br at its relaxed geometry, from Alexandria.

Cell: 5.4212 5.4212 6.6382 Å, 90.00 90.00 90.00°
Sites, in units of the cell vectors:
Cs 0.0000 0.0000 0.0000
Tl 0.5000 0.5000 0.5000
As 0.0000 0.5000 0.5000
As 0.5000 0.0000 0.5000
Br 0.5000 0.5000 0.0000

Computed properties:
ΔE to the lowest computed polymorph = 0.000 eV/atom
space-group type = P4/mmm

---

Entry 9:
The following is a PBE calculation of crystalline Cs2TlAsBr6 at its relaxed geometry, from Alexandria.

Cell: 8.1773 8.2789 14.2366 Å, 90.00 124.89 90.00°
Sites, in units of the cell vectors:
Cs 0.2390 0.0408 0.2494
Cs 0.2390 0.4592 0.7494
Cs 0.7610 0.5408 0.2506
Cs 0.7610 0.9592 0.7506
Tl 0.5000 0.0000 0.0000
Tl 0.5000 0.5000 0.5000
As 0.0000 0.0000 0.5000
As 0.0000 0.5000 0.0000
Br 0.1673 0.2388 0.9754
Br 0.1673 0.2612 0.4754
Br 0.2348 0.6929 0.9734
Br 0.2348 0.8071 0.4734
Br 0.2765 0.0029 0.7272
Br 0.2765 0.4971 0.2272
Br 0.7235 0.5029 0.7728
Br 0.7235 0.9971 0.2728
Br 0.7652 0.1929 0.5266
Br 0.7652 0.3071 0.0266
Br 0.8327 0.7388 0.5246
Br 0.8327 0.7612 0.0246

Computed properties:
ΔE to the lowest computed polymorph = 0.000 eV/atom
space-group type = P2_1/c

---

Entry 10:
The following is a PBE calculation of crystalline CsTlAs2Br at its relaxed geometry, from Alexandria.

Cell: 6.1276 6.1276 6.6111 Å, 90.00 90.00 90.00°
Sites, in units of the cell vectors:
Cs 0.0000 0.0000 0.0000
Tl 0.5000 0.5000 0.5000
As 0.0000 0.5000 0.0000
As 0.5000 0.0000 0.0000
Br 0.0000 0.0000 0.5000

Computed properties:
ΔE to the lowest computed polymorph = 0.696 eV/atom
space-group type = P4/mmm

---

Entry 11:
The following is a PBE calculation of crystalline CsTl2AsBr6 at its relaxed geometry, from Alexandria.

Cell: 8.2268 8.2341 8.5230 Å, 118.88 90.00 119.96°
Sites, in units of the cell vectors:
Cs 0.0000 0.0000 0.0000
Tl 0.1990 0.3981 0.5957
Tl 0.7126 0.4256 0.1375
As 0.5143 0.0287 0.5422
Br 0.1807 0.6185 0.3341
Br 0.3399 0.2039 0.7807
Br 0.4381 0.1553 0.3346
Br 0.5773 0.9182 0.7812
Br 0.7179 0.8980 0.3350
Br 0.8637 0.4412 0.7812

Computed properties:
electronic total energy = -28.9 eV/cell
space-group type = P1

---

Entry 12:
The following is a PBE calculation of crystalline Cs2TlAsBr6 at its relaxed geometry, from Alexandria.

Cell: 8.2373 8.2373 8.2373 Å, 60.00 60.00 60.00°
Sites, in units of the cell vectors:
Cs 0.2500 0.2500 0.2500
Cs 0.7500 0.7500 0.7500
Tl 0.0000 0.0000 0.0000
As 0.5000 0.5000 0.5000
Br 0.2703 0.2703 0.7297
Br 0.2703 0.7297 0.2703
Br 0.2703 0.7297 0.7297
Br 0.7297 0.2703 0.2703
Br 0.7297 0.2703 0.7297
Br 0.7297 0.7297 0.2703

Computed properties:
ΔE to the lowest computed polymorph = 0.002 eV/atom
space-group type = Fm-3m

---

Entry 13:
The following is a PBE calculation of crystalline CsVAs2Br at its relaxed geometry, from Alexandria.

Cell: 4.8093 4.8093 6.0867 Å, 90.00 90.00 90.00°
Sites, in units of the cell vectors:
Cs 0.0000 0.0000 0.0000
V 0.5000 0.5000 0.5000
As 0.0000 0.5000 0.5000
As 0.5000 0.0000 0.5000
Br 0.5000 0.5000 0.0000

Computed properties:
ΔE to the lowest computed polymorph = 0.000 eV/atom
space-group type = P4/mmm

---

So what do the calculations give for spin magnetization? Going down the list: 0.00, 5.85, 0.00, 0.46, 0.00, 0.55, 1.00, 1.42, 0.00, 2.67, 0.00, 0.00, 0.65 μB per cell.